1.
# GaReF3

Crystalline GaReF3 at its relaxed geometry (PBE, Alexandria).

Properties
N(E_F) in states/eV per atom: 0.235
E_form (uncorrected) in eV per atom: -0.456
Crystal system: cubic

Cell lengths 4.3022, 4.3022, 4.3022 Å; angles 90.00, 90.00, 90.00 degrees
With the nearest neighbours (Å) after each atom.
Fractional positions:
Ga (0.0000, 0.0000, 0.0000)  6 F 2.15
Re (0.5000, 0.5000, 0.5000)  12 F 3.04
F (0.0000, 0.0000, 0.5000)  2 Ga 2.15
F (0.0000, 0.5000, 0.0000)  2 Ga 2.15
F (0.5000, 0.0000, 0.0000)  2 Ga 2.15



2.
# GaRe2F

Crystalline GaRe2F at its relaxed geometry (PBE, Alexandria).

Properties
N(E_F) in states/eV per atom: 1.256
E_form (uncorrected) in eV per atom: 0.607
Crystal system: cubic

Cell lengths 4.2629, 4.2629, 4.2629 Å; angles 60.00, 60.00, 60.00 degrees
With the nearest neighbours (Å) after each atom.
Fractional positions:
Ga (0.0000, 0.0000, 0.0000)  8 Re 2.61
Re (0.2500, 0.2500, 0.2500)  4 F 2.61, 4 Ga 2.61
Re (0.7500, 0.7500, 0.7500)  4 F 2.61, 4 Ga 2.61
F (0.5000, 0.5000, 0.5000)  8 Re 2.61



3.
# GaReF2

Crystalline GaReF2 at its relaxed geometry (PBE, Alexandria).

Properties
N(E_F) in states/eV per atom: 0.960
E_form (uncorrected) in eV per atom: 0.147
Crystal system: cubic

Cell lengths 4.1682, 4.1682, 4.1682 Å; angles 60.00, 60.00, 60.00 degrees
With the nearest neighbours (Å) after each atom.
Fractional positions:
Ga (0.0000, 0.0000, 0.0000)  8 F 2.55
Re (0.5000, 0.5000, 0.5000)  8 F 2.55
F (0.2500, 0.2500, 0.2500)  4 Re 2.55, 4 Ga 2.55
F (0.7500, 0.7500, 0.7500)  4 Ga 2.55, 4 Re 2.55



4.
# GaReF3

Crystalline GaReF3 at its relaxed geometry (PBE, Alexandria).

Properties
N(E_F) in states/eV per atom: 0.780
E_form (uncorrected) in eV per atom: -0.785
Crystal system: cubic

Cell lengths 4.2464, 4.2464, 4.2464 Å; angles 90.00, 90.00, 90.00 degrees
With the nearest neighbours (Å) after each atom.
Fractional positions:
Ga (0.0000, 0.0000, 0.0000)  12 F 3.00
Re (0.5000, 0.5000, 0.5000)  6 F 2.12
F (0.0000, 0.5000, 0.5000)  2 Re 2.12
F (0.5000, 0.0000, 0.5000)  2 Re 2.12
F (0.5000, 0.5000, 0.0000)  2 Re 2.12



In order of appearance, spin magnetization = 5.729 1.140 0.288 1.307 μB per cell.